i) Compound: POsBr2
Source: Alexandria via LeMat-Bulk
Functional: PBE
Structure: relaxed

```
POsBr2
1.0
2.983 0.000 0.000
0.000 2.983 0.000
0.000 0.000 10.318
P Os Br
1 1 2
Cartesian
0.000 0.000 0.000 P
1.491 1.491 9.095 Os
0.000 0.000 7.030 Br
1.491 1.491 3.178 Br
```

ii) Compound: POsBr2
Source: Alexandria via LeMat-Bulk
Functional: PBE
Structure: relaxed

```
POsBr2
1.0
5.126 0.000 0.000
0.000 6.565 0.000
0.000 0.000 9.010
P Os Br
4 4 8
Cartesian
0.000 0.000 0.000 P
0.000 3.283 4.505 P
2.563 0.000 4.505 P
2.563 3.283 0.000 P
0.000 0.000 4.505 Os
0.000 3.283 0.000 Os
2.563 0.000 0.000 Os
2.563 3.283 4.505 Os
0.000 1.641 2.252 Br
0.000 1.641 6.757 Br
0.000 4.924 2.252 Br
0.000 4.924 6.757 Br
2.563 1.641 2.252 Br
2.563 1.641 6.757 Br
2.563 4.924 2.252 Br
2.563 4.924 6.757 Br
```

Which of them is the most stable? Correct choice: i).

i) Compound: CdH
Source: Alexandria via LeMat-Bulk
Functional: PBE
Structure: relaxed

```
CdH
1.0
6.071 0.000 0.000
0.000 6.071 0.000
0.000 0.000 3.257
Cd H
4 4
Cartesian
1.384 1.384 0.000 Cd
1.651 4.419 1.628 Cd
4.419 1.651 1.628 Cd
4.687 4.687 0.000 Cd
0.742 5.329 0.000 H
2.294 2.294 1.628 H
3.777 3.777 1.628 H
5.329 0.742 0.000 H
```

ii) Compound: CdH
Source: Alexandria via LeMat-Bulk
Functional: PBE
Structure: relaxed

```
CdH
1.0
10.779 0.000 0.000
0.000 3.264 0.000
-0.519 0.000 3.445
Cd H
4 4
Cartesian
1.011 0.000 1.099 Cd
3.859 1.632 2.346 Cd
6.401 1.632 1.099 Cd
9.249 0.000 2.346 Cd
2.043 1.632 0.773 H
2.828 0.000 2.671 H
7.432 0.000 0.773 H
8.217 1.632 2.671 H
```

Which of them is the most stable? Correct choice: ii).

i) Compound: As2RuBr
Source: Alexandria via LeMat-Bulk
Functional: PBE
Structure: relaxed

```
As2RuBr
1.0
3.126 0.000 0.000
0.000 5.349 0.000
0.000 0.000 9.492
As Ru Br
4 2 2
Cartesian
0.000 0.000 0.000 As
0.000 2.675 2.434 As
1.563 0.000 2.434 As
1.563 2.675 0.000 As
0.000 2.675 7.659 Ru
1.563 0.000 7.659 Ru
0.000 0.000 5.514 Br
1.563 2.675 5.514 Br
```

ii) Compound: As2RuBr
Source: Alexandria via LeMat-Bulk
Functional: PBE
Structure: relaxed

```
As2RuBr
1.0
7.418 0.000 0.000
0.000 3.230 0.000
-2.507 0.000 7.559
As Ru Br
4 2 2
Cartesian
0.250 0.000 2.579 As
0.952 1.615 4.980 As
3.959 1.615 2.579 As
4.662 0.000 4.980 As
-1.253 1.615 3.780 Ru
2.456 0.000 3.780 Ru
0.000 0.000 0.000 Br
3.709 1.615 0.000 Br
```

Which of them is the most stable? Correct choice: ii).